1.
{
  "formula": "CaCeEr2Tl4",
  "functional": "GGA-PBE",
  "state": "optimized geometry",
  "cell": [[2.699, 1.558, 8.940], [-2.699, 1.558, 8.940], [0.000, -3.116, 8.940]],
  "species": ["Ca", "Ce", "Er", "Er", "Tl", "Tl", "Tl", "Tl"],
  "frac_coords": [[0.000, 0.000, 0.000], [0.500, 0.500, 0.500], [0.252, 0.252, 0.252], [0.748, 0.748, 0.748], [0.125, 0.125, 0.125], [0.375, 0.375, 0.375], [0.625, 0.625, 0.625], [0.875, 0.875, 0.875]],
  "energy_ha_per_atom": -0.1334
}


2.
{
  "formula": "CaCe2ErTl4",
  "functional": "GGA-PBE",
  "state": "optimized geometry",
  "cell": [[2.731, 1.577, 8.951], [-2.731, 1.577, 8.951], [0.000, -3.153, 8.951]],
  "species": ["Ca", "Ce", "Ce", "Er", "Tl", "Tl", "Tl", "Tl"],
  "frac_coords": [[0.000, 0.000, 0.000], [0.252, 0.252, 0.252], [0.748, 0.748, 0.748], [0.500, 0.500, 0.500], [0.127, 0.127, 0.127], [0.377, 0.377, 0.377], [0.623, 0.623, 0.623], [0.873, 0.873, 0.873]],
  "energy_ha_per_atom": -0.1392
}


3.
{
  "formula": "CaCeErTm",
  "functional": "GGA-PBE",
  "state": "optimized geometry",
  "cell": [[8.078, 0.000, 0.000], [0.000, 8.078, 0.000], [0.000, 0.000, 8.078]],
  "species": ["Ca", "Ca", "Ca", "Ca", "Ce", "Ce", "Ce", "Ce", "Er", "Er", "Er", "Er", "Tm", "Tm", "Tm", "Tm"],
  "frac_coords": [[0.000, 0.000, 0.000], [0.000, 0.500, 0.500], [0.500, 0.000, 0.500], [0.500, 0.500, 0.000], [0.000, 0.000, 0.500], [0.000, 0.500, 0.000], [0.500, 0.000, 0.000], [0.500, 0.500, 0.500], [0.250, 0.250, 0.250], [0.250, 0.750, 0.750], [0.750, 0.250, 0.750], [0.750, 0.750, 0.250], [0.250, 0.250, 0.750], [0.250, 0.750, 0.250], [0.750, 0.250, 0.250], [0.750, 0.750, 0.750]],
  "energy_ha_per_atom": -0.1471
}


4.
{
  "formula": "Ca2CeEu",
  "functional": "GGA-PBE",
  "state": "optimized geometry",
  "cell": [[8.607, 0.000, 0.000], [0.000, 8.607, 0.000], [0.000, 0.000, 8.607]],
  "species": ["Ca", "Ca", "Ca", "Ca", "Ca", "Ca", "Ca", "Ca", "Ce", "Ce", "Ce", "Ce", "Eu", "Eu", "Eu", "Eu"],
  "frac_coords": [[0.250, 0.250, 0.250], [0.250, 0.250, 0.750], [0.250, 0.750, 0.250], [0.250, 0.750, 0.750], [0.750, 0.250, 0.250], [0.750, 0.250, 0.750], [0.750, 0.750, 0.250], [0.750, 0.750, 0.750], [0.000, 0.000, 0.000], [0.000, 0.500, 0.500], [0.500, 0.000, 0.500], [0.500, 0.500, 0.000], [0.000, 0.000, 0.500], [0.000, 0.500, 0.000], [0.500, 0.000, 0.000], [0.500, 0.500, 0.500]],
  "energy_ha_per_atom": -0.1774,
  "relative_energy_mev_per_atom": 52
}


5.
{
  "formula": "Ca2CeEu",
  "functional": "GGA-PBE",
  "state": "optimized geometry",
  "cell": [[3.719, 0.000, 0.000], [0.000, 3.719, 0.000], [0.000, 0.000, 11.438]],
  "species": ["Ca", "Ca", "Ce", "Eu"],
  "frac_coords": [[0.000, 0.000, 0.239], [0.000, 0.000, 0.761], [0.500, 0.500, 0.000], [0.500, 0.500, 0.500]],
  "energy_ha_per_atom": -0.1793,
  "relative_energy_mev_per_atom": 0
}


6.
{
  "formula": "CaCeEuIn",
  "functional": "GGA-PBE",
  "state": "optimized geometry",
  "cell": [[8.002, 0.000, 0.000], [0.000, 8.002, 0.000], [0.000, 0.000, 8.002]],
  "species": ["Ca", "Ca", "Ca", "Ca", "Ce", "Ce", "Ce", "Ce", "Eu", "Eu", "Eu", "Eu", "In", "In", "In", "In"],
  "frac_coords": [[0.000, 0.000, 0.000], [0.000, 0.500, 0.500], [0.500, 0.000, 0.500], [0.500, 0.500, 0.000], [0.000, 0.000, 0.500], [0.000, 0.500, 0.000], [0.500, 0.000, 0.000], [0.500, 0.500, 0.500], [0.250, 0.250, 0.750], [0.250, 0.750, 0.250], [0.750, 0.250, 0.250], [0.750, 0.750, 0.750], [0.250, 0.250, 0.250], [0.250, 0.750, 0.750], [0.750, 0.250, 0.750], [0.750, 0.750, 0.250]],
  "energy_ha_per_atom": -0.1939
}


7.
{
  "formula": "CaCePrEu",
  "functional": "GGA-PBE",
  "state": "optimized geometry",
  "cell": [[8.442, 0.000, 0.000], [0.000, 8.442, 0.000], [0.000, 0.000, 8.442]],
  "species": ["Ca", "Ca", "Ca", "Ca", "Ce", "Ce", "Ce", "Ce", "Pr", "Pr", "Pr", "Pr", "Eu", "Eu", "Eu", "Eu"],
  "frac_coords": [[0.000, 0.000, 0.000], [0.000, 0.500, 0.500], [0.500, 0.000, 0.500], [0.500, 0.500, 0.000], [0.000, 0.000, 0.500], [0.000, 0.500, 0.000], [0.500, 0.000, 0.000], [0.500, 0.500, 0.500], [0.250, 0.250, 0.750], [0.250, 0.750, 0.250], [0.750, 0.250, 0.250], [0.750, 0.750, 0.750], [0.250, 0.250, 0.250], [0.250, 0.750, 0.750], [0.750, 0.250, 0.750], [0.750, 0.750, 0.250]],
  "energy_ha_per_atom": -0.2027
}


8.
{
  "formula": "CaCeSmEu",
  "functional": "GGA-PBE",
  "state": "optimized geometry",
  "cell": [[8.383, 0.000, 0.000], [0.000, 8.383, 0.000], [0.000, 0.000, 8.383]],
  "species": ["Ca", "Ca", "Ca", "Ca", "Ce", "Ce", "Ce", "Ce", "Sm", "Sm", "Sm", "Sm", "Eu", "Eu", "Eu", "Eu"],
  "frac_coords": [[0.000, 0.000, 0.000], [0.000, 0.500, 0.500], [0.500, 0.000, 0.500], [0.500, 0.500, 0.000], [0.000, 0.000, 0.500], [0.000, 0.500, 0.000], [0.500, 0.000, 0.000], [0.500, 0.500, 0.500], [0.250, 0.250, 0.750], [0.250, 0.750, 0.250], [0.750, 0.250, 0.250], [0.750, 0.750, 0.750], [0.250, 0.250, 0.250], [0.250, 0.750, 0.750], [0.750, 0.250, 0.750], [0.750, 0.750, 0.250]],
  "energy_ha_per_atom": -0.2022
}


9.
{
  "formula": "Ca2CeF8",
  "functional": "GGA-PBE",
  "state": "optimized geometry",
  "cell": [[7.071, -1.983, 0.000], [7.071, 1.983, 0.000], [-1.623, 0.000, 5.209]],
  "species": ["Ca", "Ca", "Ce", "F", "F", "F", "F", "F", "F", "F", "F"],
  "frac_coords": [[0.190, 0.190, 0.193], [0.810, 0.810, 0.807], [0.500, 0.500, 0.500], [0.035, 0.035, 0.311], [0.220, 0.220, 0.813], [0.343, 0.343, 0.546], [0.412, 0.412, 0.100], [0.588, 0.588, 0.900], [0.657, 0.657, 0.454], [0.780, 0.780, 0.187], [0.965, 0.965, 0.689]],
  "energy_ha_per_atom": -0.2227,
  "raw_formation_energy_ev_per_atom": -3.795
}


10.
{
  "formula": "CaCeF2",
  "functional": "GGA-PBE",
  "state": "optimized geometry",
  "cell": [[4.112, 0.000, 0.000], [-2.056, 3.561, 0.000], [0.000, 0.000, 18.593]],
  "species": ["Ca", "Ca", "Ca", "Ce", "Ce", "Ce", "F", "F", "F", "F", "F", "F"],
  "frac_coords": [[0.000, 0.000, 0.000], [0.333, 0.667, 0.667], [0.667, 0.333, 0.333], [0.000, 0.000, 0.500], [0.333, 0.667, 0.167], [0.667, 0.333, 0.833], [0.000, 0.000, 0.129], [0.000, 0.000, 0.871], [0.333, 0.667, 0.538], [0.333, 0.667, 0.796], [0.667, 0.333, 0.204], [0.667, 0.333, 0.462]],
  "energy_ha_per_atom": -0.2014,
  "raw_formation_energy_ev_per_atom": -2.561
}


11.
{
  "formula": "CaCe2F8",
  "functional": "GGA-PBE",
  "state": "optimized geometry",
  "cell": [[-2.035, 2.759, 6.317], [2.035, -2.759, 6.317], [2.035, 2.759, -6.317]],
  "species": ["Ca", "Ce", "Ce", "F", "F", "F", "F", "F", "F", "F", "F"],
  "frac_coords": [[0.000, 0.000, 0.000], [0.327, 0.327, 0.000], [0.673, 0.673, 0.000], [0.120, 0.859, 0.261], [0.197, 0.697, 0.500], [0.266, 0.500, 0.766], [0.401, 0.141, 0.261], [0.599, 0.859, 0.739], [0.734, 0.500, 0.234], [0.803, 0.303, 0.500], [0.880, 0.141, 0.739]],
  "energy_ha_per_atom": -0.2388,
  "raw_formation_energy_ev_per_atom": -3.877
}


12.
{
  "formula": "Ca2CeF",
  "functional": "GGA-PBE",
  "state": "optimized geometry",
  "cell": [[3.483, 0.000, 0.000], [-1.742, 3.017, 0.000], [0.000, 0.000, 30.233]],
  "species": ["Ca", "Ca", "Ca", "Ca", "Ca", "Ca", "Ce", "Ce", "Ce", "F", "F", "F"],
  "frac_coords": [[0.000, 0.000, 0.111], [0.000, 0.000, 0.889], [0.333, 0.667, 0.556], [0.333, 0.667, 0.778], [0.667, 0.333, 0.222], [0.667, 0.333, 0.444], [0.000, 0.000, 0.000], [0.333, 0.667, 0.667], [0.667, 0.333, 0.333], [0.000, 0.000, 0.500], [0.333, 0.667, 0.167], [0.667, 0.333, 0.833]],
  "energy_ha_per_atom": -0.1447,
  "raw_formation_energy_ev_per_atom": -0.984
}


Please write out number 9 again, unchanged.
{
  "formula": "Ca2CeF8",
  "functional": "GGA-PBE",
  "state": "optimized geometry",
  "cell": [[7.071, -1.983, 0.000], [7.071, 1.983, 0.000], [-1.623, 0.000, 5.209]],
  "species": ["Ca", "Ca", "Ce", "F", "F", "F", "F", "F", "F", "F", "F"],
  "frac_coords": [[0.190, 0.190, 0.193], [0.810, 0.810, 0.807], [0.500, 0.500, 0.500], [0.035, 0.035, 0.311], [0.220, 0.220, 0.813], [0.343, 0.343, 0.546], [0.412, 0.412, 0.100], [0.588, 0.588, 0.900], [0.657, 0.657, 0.454], [0.780, 0.780, 0.187], [0.965, 0.965, 0.689]],
  "energy_ha_per_atom": -0.2227,
  "raw_formation_energy_ev_per_atom": -3.795
}